w) {
  "formula": "CaCoTeN2",
  "functional": "PBE",
  "state": "relaxed",
  "space_group": "P4/mmm (123)",
  "magmom_total_mub_per_cell": 3.73,
  "lattice": [[-1.804, -1.015, -3.441], [-3.437, -0.613, 1.983], [-1.361, 5.086, -0.787]],
  "species": ["Ca", "Co", "Te", "N", "N"],
  "frac_coords": [[0.500, 0.500, 0.500], [0.000, 0.000, 0.000], [0.000, 0.000, 0.500], [0.000, 0.500, 0.000], [0.500, 0.000, 0.000]]
}


x) {
  "formula": "CaCoTeN2",
  "functional": "PBE",
  "state": "relaxed",
  "space_group": "P4/mmm (123)",
  "magmom_total_mub_per_cell": 6.82,
  "lattice": [[-4.372, -0.635, -0.311], [0.706, -4.045, -1.659], [-0.068, -2.461, 5.969]],
  "species": ["Co", "Te", "N", "N", "Ca"],
  "frac_coords": [[0.500, 0.500, 0.500], [0.000, 0.000, 0.500], [0.500, 0.000, 0.000], [0.000, 0.500, 0.000], [0.000, 0.000, 0.000]]
}


w) (1066 meV per atom below the next structure)


w) {
  "formula": "NaCaY2Co",
  "functional": "PBE",
  "state": "relaxed",
  "space_group": "P4/mmm (123)",
  "magmom_total_mub_per_cell": 0.00,
  "lattice": [[-4.351, -2.719, -1.025], [2.701, -3.101, -3.235], [1.167, -3.499, 4.328]],
  "species": ["Y", "Y", "Co", "Na", "Ca"],
  "frac_coords": [[0.000, 0.500, 0.000], [0.500, 0.000, 0.000], [0.000, 0.000, 0.000], [0.500, 0.500, 0.500], [0.000, 0.000, 0.500]]
}


x) {
  "formula": "NaCaY2Co",
  "functional": "PBE",
  "state": "relaxed",
  "space_group": "P4/mmm (123)",
  "magmom_total_mub_per_cell": 1.67,
  "lattice": [[-5.382, -1.874, 0.480], [0.500, -2.527, -4.250], [1.846, -4.554, 2.925]],
  "species": ["Ca", "Co", "Na", "Y", "Y"],
  "frac_coords": [[0.000, 0.000, 0.000], [0.500, 0.500, 0.500], [0.000, 0.500, 0.000], [0.500, 0.000, 0.000], [0.000, 0.000, 0.500]]
}


w) (1494 meV per atom below the next structure)


w) {
  "formula": "CaNb2Co2",
  "functional": "PBE",
  "state": "relaxed",
  "space_group": "I4/mmm (139)",
  "magmom_total_mub_per_cell": 0.00,
  "lattice": [[-4.305, 0.378, 1.036], [-0.490, -4.396, -0.433], [-1.321, -2.591, 4.988]],
  "species": ["Ca", "Co", "Co", "Nb", "Nb"],
  "frac_coords": [[0.000, 0.000, 0.000], [0.750, 0.250, 0.500], [0.250, 0.750, 0.500], [0.646, 0.646, 0.709], [0.354, 0.354, 0.291]]
}


x) {
  "formula": "CaNb2Co2",
  "functional": "PBE",
  "state": "relaxed",
  "space_group": "P4/mbm (127)",
  "magmom_total_mub_per_cell": 0.00,
  "lattice": [[-5.967, -0.954, 4.894], [-1.229, -7.116, -2.886], [1.711, -1.058, 1.880]],
  "species": ["Ca", "Ca", "Co", "Co", "Co", "Co", "Nb", "Nb", "Nb", "Nb"],
  "frac_coords": [[0.500, 0.500, 0.000], [0.000, 0.000, 0.000], [0.849, 0.349, 0.500], [0.349, 0.151, 0.500], [0.651, 0.849, 0.500], [0.151, 0.651, 0.500], [0.360, 0.860, 0.000], [0.860, 0.640, 0.000], [0.140, 0.360, 0.000], [0.640, 0.140, 0.000]]
}


y) {
  "formula": "CaNb2Co2",
  "functional": "PBE",
  "state": "relaxed",
  "space_group": "I4/mmm (139)",
  "magmom_total_mub_per_cell": 0.00,
  "lattice": [[4.308, 0.000, 0.000], [0.000, 4.308, 0.000], [2.154, 2.154, 4.922]],
  "species": ["Nb", "Nb", "Co", "Co", "Ca"],
  "frac_coords": [[0.750, 0.250, 0.500], [0.250, 0.750, 0.500], [0.377, 0.377, 0.245], [0.623, 0.623, 0.755], [0.000, 0.000, 0.000]]
}


y) (139 meV per atom below the next structure)